{
  "formula": "La3Tm2In2",
  "functional": "GGA-PBE",
  "state": "relaxed",
  "cell": [[-2.106, -0.327, -2.547], [4.110, -1.939, -3.148], [-4.444, -9.468, 4.890]],
  "species": ["Tm", "Tm", "La", "La", "La", "In", "In"],
  "fractional_positions": [[0.000, 0.574, 0.148], [0.000, 0.426, 0.852], [0.000, 0.716, 0.433], [0.000, 0.000, 0.000], [0.000, 0.284, 0.567], [0.500, 0.858, 0.716], [0.500, 0.142, 0.284]],
  "space_group": "No. 10",
  "n_ef_per_ev_cell": 9.2,
  "magnetic_moment_mub_per_cell": 0.0,
  "e_form_ev_per_atom": -0.08
}



{
  "formula": "La4TmIn",
  "functional": "GGA-PBE",
  "state": "relaxed",
  "cell": [[5.149, -2.004, 0.000], [-2.652, 8.401, 0.000], [-1.248, -3.198, 10.151]],
  "species": ["In", "In", "La", "La", "La", "La", "La", "La", "La", "La", "Tm", "Tm"],
  "fractional_positions": [[0.873, 0.123, 0.246], [0.127, 0.877, 0.754], [0.942, 0.192, 0.917], [0.475, 0.726, 0.917], [0.777, 0.026, 0.587], [0.690, 0.439, 0.413], [0.058, 0.808, 0.083], [0.310, 0.561, 0.587], [0.525, 0.274, 0.083], [0.223, 0.974, 0.413], [0.625, 0.375, 0.749], [0.375, 0.625, 0.251]],
  "space_group": "No. 15",
  "n_ef_per_ev_cell": 15.8,
  "magnetic_moment_mub_per_cell": 0.0,
  "e_form_ev_per_atom": -0.10
}



Please write out number 1 again, unchanged.
{
  "formula": "La3Tm2In2",
  "functional": "GGA-PBE",
  "state": "relaxed",
  "cell": [[-2.106, -0.327, -2.547], [4.110, -1.939, -3.148], [-4.444, -9.468, 4.890]],
  "species": ["Tm", "Tm", "La", "La", "La", "In", "In"],
  "fractional_positions": [[0.000, 0.574, 0.148], [0.000, 0.426, 0.852], [0.000, 0.716, 0.433], [0.000, 0.000, 0.000], [0.000, 0.284, 0.567], [0.500, 0.858, 0.716], [0.500, 0.142, 0.284]],
  "space_group": "No. 10",
  "n_ef_per_ev_cell": 9.2,
  "magnetic_moment_mub_per_cell": 0.0,
  "e_form_ev_per_atom": -0.08
}